(1)
DFT (PBE) results for Pm2Dy3Pt4 after structural relaxation.

The structure in extended XYZ format:
```
18
Lattice="3.6981 -7.8110 0.0000 3.6981 7.8110 0.0000 0.0000 0.0000 7.7779" Properties=species:S:1:pos:R:3 pbc="T T T"
Pm 3.6981 6.2389 7.0121
Pm 3.6981 1.5721 3.1231
Pm 3.6981 -1.5721 4.6548
Pm 3.6981 -6.2389 0.7659
Dy 0.0000 0.0000 3.8890
Dy 1.8491 3.2852 5.8334
Dy 1.8491 -3.2852 1.9445
Dy 3.6981 0.0000 0.0000
Dy 5.5472 3.2852 5.8334
Dy 5.5472 -3.2852 1.9445
Pt 3.6981 4.7578 4.2708
Pt 1.8491 0.4901 5.8334
Pt 1.8491 -0.4901 1.9445
Pt 3.6981 3.0532 0.3819
Pt 3.6981 -3.0532 7.3960
Pt 5.5472 0.4901 5.8334
Pt 5.5472 -0.4901 1.9445
Pt 3.6981 -4.7578 3.5071
```

## Properties
* ΔE_f: -1005.8 meV/atom
* V: 449 Å³/cell
* polymorph energy (0 for the lowest one): 14.1 kJ/mol of atoms
* energy: -0.462 Ry per atom

=====

(2)
DFT (PBE) results for PmDy3Pt2 after structural relaxation.

The structure in extended XYZ format:
```
12
Lattice="4.7969 0.0000 0.0000 0.0000 8.8617 0.0000 0.0000 0.0000 7.2025" Properties=species:S:1:pos:R:3 pbc="T T T"
Pm 0.0000 0.7177 0.0000
Pm 0.0000 8.1440 3.6013
Dy 0.0000 2.9609 4.5782
Dy 0.0000 5.9007 0.9770
Dy 2.3985 1.5233 2.5093
Dy 2.3985 3.7173 7.0766
Dy 2.3985 5.1444 3.4753
Dy 2.3985 7.3384 6.1106
Pt 0.0000 3.0539 1.7013
Pt 0.0000 5.8078 5.3026
Pt 2.3985 1.4398 5.3738
Pt 2.3985 7.4219 1.7725
```

## Properties
* ΔE_f: -929.0 meV/atom
* V: 306 Å³/cell
* polymorph energy (0 for the lowest one): 0.0 kJ/mol of atoms
* energy: -0.444 Ry per atom

=====

(3)
DFT (PBE) results for Pm2DyPt2 after structural relaxation.

The structure in extended XYZ format:
```
10
Lattice="-4.0579 5.4003 3.1221 4.0579 -5.4003 3.1221 4.0579 5.4003 -3.1221" Properties=species:S:1:pos:R:3 pbc="T T T"
Pm 1.1055 1.6622 0.0000
Pm 5.1634 3.7382 0.0000
Pm -1.1055 1.6622 3.1221
Pm 2.9524 3.7382 3.1221
Dy 4.0579 0.0000 1.5610
Dy 0.0000 5.4003 1.5610
Pt 6.2488 1.1149 0.0000
Pt 2.1909 4.2854 0.0000
Pt 1.8670 1.1149 3.1221
Pt -2.1909 4.2854 3.1221
```

## Properties
* ΔE_f: -902.7 meV/atom
* V: 274 Å³/cell
* polymorph energy (0 for the lowest one): 8.4 kJ/mol of atoms
* energy: -0.451 Ry per atom

=====

(4)
DFT (PBE) results for PmDyPt6 after structural relaxation.

The structure in extended XYZ format:
```
8
Lattice="5.3358 0.0000 0.0000 0.0000 5.3358 0.0000 0.0000 0.0000 5.3358" Properties=species:S:1:pos:R:3 pbc="T T T"
Pm 0.0000 0.0000 0.0000
Dy 2.6679 2.6679 2.6679
Pt 0.0000 1.3418 2.6679
Pt 0.0000 3.9940 2.6679
Pt 1.3418 2.6679 0.0000
Pt 2.6679 0.0000 1.3418
Pt 2.6679 0.0000 3.9940
Pt 3.9940 2.6679 0.0000
```

## Properties
* ΔE_f: -634.9 meV/atom
* V: 152 Å³/cell
* polymorph energy (0 for the lowest one): 32.3 kJ/mol of atoms
* energy: -0.466 Ry per atom

=====

(5)
DFT (PBE) results for PmDyRuPt after structural relaxation.

The structure in extended XYZ format:
```
4
Lattice="3.4861 0.0000 0.0000 0.0000 3.4861 0.0000 0.0000 0.0000 7.0025" Properties=species:S:1:pos:R:3 pbc="T T T"
Pm 0.0000 0.0000 0.0000
Dy 0.0000 0.0000 3.4242
Ru 1.7430 1.7430 1.7666
Pt 1.7430 1.7430 5.1129
```

## Properties
* ΔE_f: -734.5 meV/atom
* V: 85 Å³/cell
* polymorph energy (0 for the lowest one): 0.0 kJ/mol of atoms
* energy: -0.507 Ry per atom

=====

(6)
DFT (PBE) results for PmDyRuPt after structural relaxation.

The structure in extended XYZ format:
```
4
Lattice="0.0000 3.4908 3.4908 3.4908 0.0000 3.4908 3.4908 3.4908 0.0000" Properties=species:S:1:pos:R:3 pbc="T T T"
Pm 0.0000 0.0000 0.0000
Dy 3.4908 3.4908 3.4908
Ru 5.2362 5.2362 5.2362
Pt 1.7454 1.7454 1.7454
```

## Properties
* ΔE_f: -685.9 meV/atom
* V: 85 Å³/cell
* polymorph energy (0 for the lowest one): 4.7 kJ/mol of atoms
* energy: -0.504 Ry per atom

=====

(7)
DFT (PBE) results for Pm2DySb3Pt4 after structural relaxation.

The structure in extended XYZ format:
```
10
Lattice="4.5096 0.0000 0.0000 0.0000 4.5096 0.0000 0.0000 0.0000 11.4759" Properties=species:S:1:pos:R:3 pbc="T T T"
Pm 0.0000 2.2548 2.4253
Pm 2.2548 0.0000 9.0506
Dy 0.0000 0.0000 5.7379
Sb 0.0000 2.2548 9.9695
Sb 2.2548 0.0000 1.5064
Sb 2.2548 2.2548 5.7379
Pt 0.0000 0.0000 0.0000
Pt 0.0000 2.2548 7.3841
Pt 2.2548 0.0000 4.0917
Pt 2.2548 2.2548 0.0000
```

## Properties
* raw formation energy: -0.936 eV per atom
* V: 233 Å³/cell
* energy: -0.441 Ry per atom

=====

(8)
DFT (PBE) results for Pm2DySi3Pt12 after structural relaxation.

The structure in extended XYZ format:
```
18
Lattice="4.1698 2.4074 5.9990 -4.1698 2.4074 5.9990 0.0000 -4.8149 5.9990" Properties=species:S:1:pos:R:3 pbc="T T T"
Pm 0.0000 0.0000 1.7685
Pm 0.0000 0.0000 16.2283
Dy 0.0000 0.0000 8.9984
Si -2.0849 -1.2037 5.9990
Si -2.0849 1.2037 11.9979
Si 0.0000 2.4074 5.9989
Pt -2.2807 -1.3167 8.3503
Pt 0.0000 -2.1689 5.4020
Pt -1.8783 1.0844 5.4020
Pt 0.0000 -2.6335 9.6465
Pt -2.2807 1.3167 9.6465
Pt -1.8783 -1.0844 12.5949
Pt 1.8783 1.0844 5.4020
Pt 2.2807 -1.3167 8.3503
Pt 0.0000 2.6335 8.3503
Pt 1.8783 -1.0844 12.5949
Pt 0.0000 2.1689 12.5949
Pt 2.2807 1.3168 9.6465
```

## Properties
* raw formation energy: -0.556 eV per atom
* V: 361 Å³/cell
* energy: -0.461 Ry per atom

=====

(9)
DFT (PBE) results for PmDySi2Pt4 after structural relaxation.

The structure in extended XYZ format:
```
8
Lattice="4.1859 0.0000 0.0000 0.0000 4.1859 0.0000 0.0000 0.0000 8.9020" Properties=species:S:1:pos:R:3 pbc="T T T"
Pm 0.0000 0.0000 0.0000
Dy 0.0000 0.0000 4.4510
Si 2.0930 2.0930 1.1877
Si 2.0930 2.0930 7.7143
Pt 0.0000 2.0930 2.4009
Pt 0.0000 2.0930 6.5011
Pt 2.0930 0.0000 2.4009
Pt 2.0930 0.0000 6.5011
```

## Properties
* raw formation energy: -0.977 eV per atom
* V: 156 Å³/cell
* energy: -0.479 Ry per atom

=====

(10)
DFT (PBE) results for Pm2DySi4Pt3 after structural relaxation.

The structure in extended XYZ format:
```
10
Lattice="4.2481 0.0000 0.0000 0.0000 4.2481 0.0000 0.0000 0.0000 10.8650" Properties=species:S:1:pos:R:3 pbc="T T T"
Pm 0.0000 2.1240 2.5018
Pm 2.1240 0.0000 8.3633
Dy 0.0000 0.0000 5.4325
Si 0.0000 0.0000 0.0000
Si 0.0000 2.1240 7.2469
Si 2.1240 0.0000 3.6181
Si 2.1240 2.1240 0.0000
Pt 0.0000 2.1240 9.6720
Pt 2.1240 0.0000 1.1930
Pt 2.1240 2.1240 5.4325
```

## Properties
* raw formation energy: -0.988 eV per atom
* V: 196 Å³/cell
* energy: -0.469 Ry per atom

=====

(11)
DFT (PBE) results for Pm2DySi3Pt4 after structural relaxation.

The structure in extended XYZ format:
```
10
Lattice="4.2670 0.0000 0.0000 0.0000 4.2670 0.0000 0.0000 0.0000 10.8303" Properties=species:S:1:pos:R:3 pbc="T T T"
Pm 0.0000 2.1335 2.4453
Pm 2.1335 0.0000 8.3850
Dy 0.0000 0.0000 5.4151
Si 0.0000 2.1335 9.5453
Si 2.1335 0.0000 1.2849
Si 2.1335 2.1335 5.4151
Pt 0.0000 0.0000 0.0000
Pt 0.0000 2.1335 7.1577
Pt 2.1335 0.0000 3.6726
Pt 2.1335 2.1335 0.0000
```

## Properties
* raw formation energy: -1.061 eV per atom
* V: 197 Å³/cell
* energy: -0.479 Ry per atom

=====

(12)
DFT (PBE) results for PmDy2Si2Pt7 after structural relaxation.

The structure in extended XYZ format:
```
12
Lattice="2.8902 -2.8587 0.0000 2.8902 2.8587 0.0000 -2.1211 0.0000 13.6804" Properties=species:S:1:pos:R:3 pbc="T T T"
Pm 0.0000 0.0000 0.0000
Dy -0.0796 0.0000 4.9037
Dy 3.7390 0.0000 8.7767
Si 0.7545 0.0000 10.1251
Si 2.9049 0.0000 3.5553
Pt 1.4574 1.4269 2.2743
Pt 0.9041 0.0000 7.8088
Pt 2.2020 1.4269 11.4061
Pt 2.8902 0.0000 0.0000
Pt 1.4574 -1.4269 2.2743
Pt 2.7553 0.0000 5.8716
Pt 2.2020 -1.4269 11.4061
```

## Properties
* raw formation energy: -1.078 eV per atom
* V: 226 Å³/cell
* energy: -0.490 Ry per atom

=====

> The highest V belongs to which entry?

Pm2Dy3Pt4